Record 1
Computed, not measured: KLiCl2 at its PBEsol-relaxed geometry at the SCAN level of DFT.

Unit cell a=4.9151 b=4.9151 c=4.0721 alpha=90.00 beta=90.00 gamma=90.00
With the nearest neighbours (Å) after each atom.
Space group P4/mmm (No. 123)
Inequivalent atoms, fractional coordinates:
K: 0.0000 0.0000 0.0000 (multiplicity 1)  8 Cl 3.19
Li: 0.5000 0.5000 0.5000 (multiplicity 1)  4 Cl 2.46
Cl: 0.0000 0.5000 0.5000 (multiplicity 2)  2 Li 2.46

Output
The calculation puts the calculated total energy at -8.6836 eV/atom. For the magnetic moment, the calculation gives 0.00 μB/atom. The uncorrected formation energy is -2.01 eV/atom.

Record 2
Computed, not measured: K2LiMoCl6 at its PBEsol-relaxed geometry at the SCAN level of DFT.

Unit cell a=9.8441 b=9.8441 c=9.8441 alpha=90.00 beta=90.00 gamma=90.00
With the nearest neighbours (Å) after each atom.
Space group Fm-3m (No. 225)
Inequivalent atoms, fractional coordinates:
K: 0.2500 0.2500 0.2500 (multiplicity 8)  12 Cl 3.48
Li: 0.0000 0.0000 0.0000 (multiplicity 4)  6 Cl 2.51
Mo: 0.0000 0.0000 0.5000 (multiplicity 4)  6 Cl 2.42
Cl: 0.0000 0.0000 0.2546 (multiplicity 24)  1 Mo 2.42, 1 Li 2.51

Output
The calculation puts the calculated total energy at -11.9181 eV/atom. For the magnetic moment, the calculation gives 0.30 μB/atom. The uncorrected formation energy is -1.74 eV/atom.

Record 3
Computed, not measured: K2LiNdCl6 at its PBEsol-relaxed geometry at the SCAN level of DFT.

Unit cell a=10.3598 b=10.3598 c=10.3598 alpha=90.00 beta=90.00 gamma=90.00
With the nearest neighbours (Å) after each atom.
Space group Fm-3m (No. 225)
Inequivalent atoms, fractional coordinates:
K: 0.2500 0.2500 0.2500 (multiplicity 8)  12 Cl 3.66
Li: 0.0000 0.0000 0.0000 (multiplicity 4)  6 Cl 2.50
Nd: 0.0000 0.0000 0.5000 (multiplicity 4)  6 Cl 2.68
Cl: 0.0000 0.0000 0.2410 (multiplicity 24)  1 Li 2.50, 1 Nd 2.68

Output
The calculation puts the calculated total energy at -13.3257 eV/atom. For the magnetic moment, the calculation gives 0.00 μB/atom. The uncorrected formation energy is -2.28 eV/atom.

Record 4
Computed, not measured: K2LiTlCl6 at its PBEsol-relaxed geometry at the SCAN level of DFT.

Unit cell a=10.1428 b=10.1428 c=10.1428 alpha=90.00 beta=90.00 gamma=90.00
With the nearest neighbours (Å) after each atom.
Space group Fm-3m (No. 225)
Inequivalent atoms, fractional coordinates:
K: 0.2500 0.2500 0.2500 (multiplicity 8)  12 Cl 3.59
Li: 0.0000 0.0000 0.0000 (multiplicity 4)  6 Cl 2.50
Tl: 0.0000 0.0000 0.5000 (multiplicity 4)  6 Cl 2.57
Cl: 0.0000 0.0000 0.2465 (multiplicity 24)  1 Li 2.50, 1 Tl 2.57

Output
The calculation puts the calculated total energy at -15.5036 eV/atom. For the magnetic moment, the calculation gives 0.00 μB/atom. The uncorrected formation energy is -1.58 eV/atom.

Record 5
Computed, not measured: K2LiTmCl6 at its PBEsol-relaxed geometry at the SCAN level of DFT.

Unit cell a=10.1053 b=10.1053 c=10.1053 alpha=90.00 beta=90.00 gamma=90.00
With the nearest neighbours (Å) after each atom.
Space group Fm-3m (No. 225)
Inequivalent atoms, fractional coordinates:
K: 0.2500 0.2500 0.2500 (multiplicity 8)  12 Cl 3.57
Li: 0.0000 0.0000 0.0000 (multiplicity 4)  6 Cl 2.50
Tm: 0.0000 0.0000 0.5000 (multiplicity 4)  6 Cl 2.56
Cl: 0.0000 0.0000 0.2471 (multiplicity 24)  1 Li 2.50, 1 Tm 2.56

Output
The calculation puts the calculated total energy at -14.1918 eV/atom. For the magnetic moment, the calculation gives 0.00 μB/atom. The uncorrected formation energy is -2.32 eV/atom.

Record 6
Computed, not measured: KLuNb6Cl18 at its PBEsol-relaxed geometry at the SCAN level of DFT.

Unit cell a=9.2520 b=9.2520 c=25.1263 alpha=90.00 beta=90.00 gamma=120.00
With the nearest neighbours (Å) after each atom.
Space group R3 (No. 146, hexagonal axes)
Inequivalent atoms, fractional coordinates:
K: 0.0000 0.0000 0.0000 (multiplicity 3)  12 Cl 3.41-3.52
Lu: 0.0000 0.0000 0.7229 (multiplicity 3)  6 Cl 2.55-2.59
Nb: 0.0447 0.8454 0.2688 (multiplicity 9)  5 Cl 2.44-2.65
Nb: 0.1778 0.4676 0.8413 (multiplicity 9)  5 Cl 2.44-2.64
Cl: 0.0282 0.7869 0.6631 (multiplicity 9)  1 Lu 2.59, 1 Nb 2.65
Cl: 0.0492 0.8012 0.8892 (multiplicity 9)  2 Nb 2.45
Cl: 0.0512 0.8166 0.1104 (multiplicity 9)  2 Nb 2.45
Cl: 0.1189 0.4283 0.4469 (multiplicity 9)  1 Lu 2.55, 1 Nb 2.64
Cl: 0.1345 0.4178 0.2211 (multiplicity 9)  2 Nb 2.44
Cl: 0.1504 0.4319 0.9997 (multiplicity 9)  2 Nb 2.45

Output
The calculation puts the calculated total energy at -17.2921 eV/atom. For the magnetic moment, the calculation gives 0.00 μB/atom. The uncorrected formation energy is -1.67 eV/atom.

Record 7
Computed, not measured: KRb2LuCl6 at its PBEsol-relaxed geometry at the SCAN level of DFT.

Unit cell a=10.9072 b=10.9072 c=10.9072 alpha=90.00 beta=90.00 gamma=90.00
With the nearest neighbours (Å) after each atom.
Space group Fm-3m (No. 225)
Inequivalent atoms, fractional coordinates:
K: 0.0000 0.0000 0.0000 (multiplicity 4)  6 Cl 2.91
Rb: 0.2500 0.2500 0.2500 (multiplicity 8)  12 Cl 3.86
Lu: 0.0000 0.0000 0.5000 (multiplicity 4)  6 Cl 2.54
Cl: 0.0000 0.0000 0.2671 (multiplicity 24)  1 Lu 2.54

Output
The calculation puts the calculated total energy at -17.6474 eV/atom. For the magnetic moment, the calculation gives 0.00 μB/atom. The uncorrected formation energy is -2.35 eV/atom.

Record 8
Computed, not measured: K2MgCl at its PBEsol-relaxed geometry at the SCAN level of DFT.

Unit cell a=9.0577 b=9.0577 c=8.4087 alpha=90.00 beta=90.00 gamma=90.00
With the nearest neighbours (Å) after each atom.
Space group I-42d (No. 122)
Inequivalent atoms, fractional coordinates:
K: 0.1770 0.7500 0.1250 (multiplicity 8)  2 Cl 2.97
Mg: 0.0000 0.0000 0.5000 (multiplicity 4)  8 K 3.85-4.20, 2 Cl 4.20
Cl: 0.0000 0.0000 0.0000 (multiplicity 4)  4 K 2.97

Output
The calculation puts the calculated total energy at -8.1211 eV/atom. For the magnetic moment, the calculation gives 0.00 μB/atom. The uncorrected formation energy is -0.72 eV/atom.

Record 9
Computed, not measured: K3Mg2Cl7 at its PBEsol-relaxed geometry at the SCAN level of DFT.

Unit cell a=4.9394 b=4.9394 c=25.1963 alpha=90.00 beta=90.00 gamma=90.00
With the nearest neighbours (Å) after each atom.
Space group I4/mmm (No. 139)
Inequivalent atoms, fractional coordinates:
K: 0.0000 0.0000 0.0000 (multiplicity 2)  12 Cl 3.46-3.49
K: 0.0000 0.0000 0.1816 (multiplicity 4)  5 Cl 3.07-3.28
Mg: 0.0000 0.0000 0.4003 (multiplicity 4)  6 Cl 2.44-2.51
Cl: 0.0000 0.0000 0.3034 (multiplicity 4)  1 Mg 2.44
Cl: 0.0000 0.0000 0.5000 (multiplicity 2)  2 Mg 2.51
Cl: 0.0000 0.5000 0.0959 (multiplicity 8)  2 Mg 2.47

Output
The calculation puts the calculated total energy at -9.7184 eV/atom. For the magnetic moment, the calculation gives 0.00 μB/atom. The uncorrected formation energy is -2.15 eV/atom.

Record 10
Computed, not measured: KMgCl at its PBEsol-relaxed geometry at the SCAN level of DFT.

Unit cell a=7.8386 b=7.8386 c=7.8386 alpha=90.00 beta=90.00 gamma=90.00
With the nearest neighbours (Å) after each atom.
Space group F-43m (No. 216)
Inequivalent atoms, fractional coordinates:
K: 0.0000 0.0000 0.0000 (multiplicity 4)  4 Mg 3.39
Mg: 0.2500 0.2500 0.7500 (multiplicity 4)  4 Cl 3.39, 4 K 3.39
Cl: 0.0000 0.0000 0.5000 (multiplicity 4)  4 Mg 3.39

Output
The calculation puts the calculated total energy at -7.5894 eV/atom. For the magnetic moment, the calculation gives 0.00 μB/atom. The uncorrected formation energy is -0.50 eV/atom.

Record 11
Computed, not measured: KMgCl2 at its PBEsol-relaxed geometry at the SCAN level of DFT.

Unit cell a=5.1840 b=5.1840 c=3.8416 alpha=90.00 beta=90.00 gamma=90.00
With the nearest neighbours (Å) after each atom.
Space group P4/mmm (No. 123)
Inequivalent atoms, fractional coordinates:
K: 0.0000 0.0000 0.0000 (multiplicity 1)  8 Cl 3.23
Mg: 0.5000 0.5000 0.5000 (multiplicity 1)  4 Cl 2.59
Cl: 0.0000 0.5000 0.5000 (multiplicity 2)  2 Mg 2.59

Output
The calculation puts the calculated total energy at -8.8981 eV/atom. For the magnetic moment, the calculation gives 0.21 μB/atom. The uncorrected formation energy is -1.58 eV/atom.

Record 12
Computed, not measured: K2MgCl at its PBEsol-relaxed geometry at the SCAN level of DFT.

Unit cell a=5.8519 b=5.8519 c=4.1404 alpha=90.00 beta=90.00 gamma=90.00
With the nearest neighbours (Å) after each atom.
Space group P4/mmm (No. 123)
Inequivalent atoms, fractional coordinates:
K: 0.0000 0.5000 0.0000 (multiplicity 2)  4 Cl 3.58, 4 Mg 3.58
Mg: 0.0000 0.0000 0.5000 (multiplicity 1)  8 K 3.58
Cl: 0.5000 0.5000 0.5000 (multiplicity 1)  8 K 3.58

Output
The calculation puts the calculated total energy at -8.0582 eV/atom. For the magnetic moment, the calculation gives 0.00 μB/atom. The uncorrected formation energy is -0.66 eV/atom.

Record 13
Computed, not measured: KMgCl2 at its PBEsol-relaxed geometry at the SCAN level of DFT.

Unit cell a=7.4120 b=7.4120 c=7.4120 alpha=90.00 beta=90.00 gamma=90.00
With the nearest neighbours (Å) after each atom.
Space group F-43m (No. 216)
Inequivalent atoms, fractional coordinates:
K: 0.0000 0.0000 0.0000 (multiplicity 4)  4 Mg 3.21, 4 Cl 3.21
Mg: 0.2500 0.2500 0.7500 (multiplicity 4)  4 Cl 3.21, 4 K 3.21
Cl: 0.0000 0.0000 0.5000 (multiplicity 4)  4 Cl 3.21, 4 Mg 3.21
Cl: 0.2500 0.2500 0.2500 (multiplicity 4)  4 Cl 3.21, 4 K 3.21

Output
The calculation puts the calculated total energy at -8.1983 eV/atom. For the magnetic moment, the calculation gives 0.25 μB/atom. The uncorrected formation energy is -0.88 eV/atom.

Record 14
Computed, not measured: KMgCl2 at its PBEsol-relaxed geometry at the SCAN level of DFT.

Unit cell a=7.3164 b=7.3198 c=3.5195 alpha=90.00 beta=90.52 gamma=90.00
With the nearest neighbours (Å) after each atom.
Space group C2/m (No. 12)
Inequivalent atoms, fractional coordinates:
K: 0.0000 0.0000 0.0000 (multiplicity 2)  8 Cl 3.12-3.14
Mg: 0.0000 0.5000 0.0000 (multiplicity 2)  8 Cl 3.12-3.14
Cl: 0.2500 0.2500 0.5000 (multiplicity 4)  4 K 3.12-3.14, 4 Mg 3.12-3.14

Output
The calculation puts the calculated total energy at -8.6501 eV/atom. For the magnetic moment, the calculation gives 0.00 μB/atom. The uncorrected formation energy is -1.34 eV/atom.

Record 15
Computed, not measured: KMgCl2 at its PBEsol-relaxed geometry at the SCAN level of DFT.

Unit cell a=4.0635 b=6.8596 c=8.1287 alpha=90.00 beta=90.00 gamma=90.00
With the nearest neighbours (Å) after each atom.
Space group Cmmm (No. 65)
Inequivalent atoms, fractional coordinates:
K: 0.0000 0.0000 0.0000 (multiplicity 2)  4 Cl 2.97
Mg: 0.0000 0.0000 0.5000 (multiplicity 2)  4 Cl 2.78
Cl: 0.0000 0.5000 0.2660 (multiplicity 4)  2 Mg 2.78, 2 K 2.97

Output
The calculation puts the calculated total energy at -8.6513 eV/atom. For the magnetic moment, the calculation gives 0.18 μB/atom. The uncorrected formation energy is -1.34 eV/atom.

Record 16
Computed, not measured: K3MnCl at its PBEsol-relaxed geometry at the SCAN level of DFT.

Unit cell a=6.4975 b=6.4975 c=6.4975 alpha=90.00 beta=90.00 gamma=90.00
With the nearest neighbours (Å) after each atom.
Space group Pm-3m (No. 221)
Inequivalent atoms, fractional coordinates:
K: 0.0000 0.0000 0.5000 (multiplicity 3)  2 Mn 3.25
Mn: 0.0000 0.0000 0.0000 (multiplicity 1)  6 K 3.25
Cl: 0.5000 0.5000 0.5000 (multiplicity 1)  12 K 4.59

Output
The calculation puts the calculated total energy at -10.2209 eV/atom. For the magnetic moment, the calculation gives 1.33 μB/atom. The uncorrected formation energy is 0.02 eV/atom.

Record 17
Computed, not measured: K2MnNb6Cl18 at its PBEsol-relaxed geometry at the SCAN level of DFT.

Unit cell a=9.1279 b=9.1279 c=25.0412 alpha=90.00 beta=90.00 gamma=120.00
With the nearest neighbours (Å) after each atom.
Space group R-3 (No. 148, hexagonal axes)
Inequivalent atoms, fractional coordinates:
K: 0.0000 0.0000 0.2223 (multiplicity 6)  12 Cl 3.40-3.47
Mn: 0.0000 0.0000 0.5000 (multiplicity 3)  6 Cl 2.54
Nb: 0.0438 0.2025 0.0474 (multiplicity 18)  5 Cl 2.45-2.61
Cl: 0.0288 0.2409 0.4420 (multiplicity 18)  1 Mn 2.54, 1 Nb 2.61
Cl: 0.0468 0.2420 0.6674 (multiplicity 18)  2 Nb 2.45
Cl: 0.0508 0.2375 0.8880 (multiplicity 18)  2 Nb 2.45-2.46

Output
The calculation puts the calculated total energy at -15.5456 eV/atom. For the magnetic moment, the calculation gives 0.19 μB/atom. The uncorrected formation energy is -1.57 eV/atom.

Record 18
Computed, not measured: KZr6MnCl14 at its PBEsol-relaxed geometry at the SCAN level of DFT.

Unit cell a=14.3535 b=12.8287 c=11.6555 alpha=90.00 beta=90.00 gamma=90.00
With the nearest neighbours (Å) after each atom.
Space group Cmce (No. 64)
Inequivalent atoms, fractional coordinates:
K: 0.0000 0.0000 0.0000 (multiplicity 4)  12 Cl 3.46-3.71
Zr: 0.0000 0.1511 0.3841 (multiplicity 8)  1 Mn 2.36, 4 Cl 2.55
Zr: 0.1212 0.0753 0.6184 (multiplicity 16)  1 Mn 2.42, 5 Cl 2.53-2.63
Mn: 0.0000 0.0000 0.5000 (multiplicity 4)  6 Zr 2.36-2.42
Cl: 0.0000 0.1591 0.7601 (multiplicity 8)  3 Zr 2.63-2.83
Cl: 0.1223 0.0815 0.2451 (multiplicity 16)  2 Zr 2.55-2.57
Cl: 0.1225 0.2451 0.5040 (multiplicity 16)  2 Zr 2.55
Cl: 0.2472 0.0000 0.0000 (multiplicity 8)  2 Zr 2.53
Cl: 0.2500 0.1591 0.7500 (multiplicity 8)  2 Zr 2.63

Output
The calculation puts the calculated total energy at -16.5634 eV/atom. For the magnetic moment, the calculation gives 0.00 μB/atom. The uncorrected formation energy is -1.91 eV/atom.

Record 19
Computed, not measured: K2MoCl at its PBEsol-relaxed geometry at the SCAN level of DFT.

Unit cell a=8.2571 b=8.2571 c=8.2571 alpha=90.00 beta=90.00 gamma=90.00
With the nearest neighbours (Å) after each atom.
Space group Fm-3m (No. 225)
Inequivalent atoms, fractional coordinates:
K: 0.2500 0.2500 0.2500 (multiplicity 8)  4 Cl 3.58, 4 Mo 3.58
Mo: 0.0000 0.0000 0.0000 (multiplicity 4)  8 K 3.58
Cl: 0.0000 0.0000 0.5000 (multiplicity 4)  8 K 3.58

Output
The calculation puts the calculated total energy at -14.5585 eV/atom. For the magnetic moment, the calculation gives 1.25 μB/atom. The uncorrected formation energy is 0.32 eV/atom.

Record 20
Computed, not measured: K2MoCl6 at its PBEsol-relaxed geometry at the SCAN level of DFT.

Unit cell a=9.7131 b=9.7131 c=9.7131 alpha=90.00 beta=90.00 gamma=90.00
With the nearest neighbours (Å) after each atom.
Space group Fm-3m (No. 225)
Inequivalent atoms, fractional coordinates:
K: 0.2500 0.2500 0.2500 (multiplicity 8)  12 Cl 3.43
Mo: 0.0000 0.0000 0.0000 (multiplicity 4)  6 Cl 2.36
Cl: 0.0000 0.0000 0.2432 (multiplicity 24)  1 Mo 2.36

Output
The calculation puts the calculated total energy at -12.6389 eV/atom. For the magnetic moment, the calculation gives 0.22 μB/atom. The uncorrected formation energy is -1.59 eV/atom.